This record from Alexandria via LeMat-Bulk describes Hf2MnAuN after structural relaxation. The functional is PBE.

Structure (POSCAR):
```
Hf2MnAuN
1.0
-2.3015 1.7221 -3.4020
0.5040 -3.8014 -2.2652
-3.2701 -1.3459 1.5310
Hf Mn Au N
2 1 1 1
direct
0.0000 0.5000 0.0000
0.5000 0.0000 0.0000
0.0000 0.0000 0.5000
0.5000 0.5000 0.5000
0.0000 0.0000 0.0000
```

**SG**: No. 123



This record from Alexandria via LeMat-Bulk describes Ce2Er3Si4 after structural relaxation. The functional is PBE.

Structure (POSCAR):
```
Ce2Er3Si4
1.0
7.4117 0.0768 0.0000
-2.3623 7.3135 0.0000
0.0000 0.0000 7.7116
Ce Er Si
4 6 8
direct
0.5803 0.1954 0.3247
0.9197 0.8046 0.8247
0.4197 0.8046 0.6753
0.0803 0.1954 0.1753
0.0000 0.5000 0.5000
0.5000 0.5000 0.0000
0.7520 0.2445 0.8196
0.7480 0.7555 0.3196
0.2480 0.7555 0.1804
0.2520 0.2445 0.6804
0.8741 0.0785 0.5292
0.6259 0.9215 0.0292
0.1259 0.9215 0.4708
0.3741 0.0785 0.9708
0.8758 0.4909 0.1194
0.6242 0.5091 0.6194
0.1242 0.5091 0.8806
0.3758 0.4909 0.3806
```

**SG**: No. 14



This record from Alexandria via LeMat-Bulk describes BaLaMgBe2 after structural relaxation. The functional is PBE.

Structure (POSCAR):
```
BaLaMgBe2
1.0
-5.2710 0.5156 0.0794
-0.5003 -4.4897 -4.0605
-0.2860 -3.5301 3.9385
Be Mg Ba La
2 1 1 1
direct
0.0000 0.0000 0.5000
0.5000 0.0000 0.0000
0.5000 0.5000 0.5000
0.0000 0.5000 0.0000
0.0000 0.0000 0.0000
```

**SG**: No. 123
**E_form**: 1.353 eV per atom



This record from Alexandria via LeMat-Bulk describes Ce5MgTlGe2 after structural relaxation. The functional is PBE.

Structure (POSCAR):
```
Ce5MgTlGe2
1.0
8.9724 0.0000 0.0000
0.0000 7.5470 0.0000
0.0000 0.0000 7.5470
Ce Mg Tl Ge
10 2 2 4
direct
0.5000 0.5000 0.5000
0.5000 0.0000 0.0000
0.2649 0.1956 0.6956
0.2649 0.8044 0.3044
0.2649 0.3044 0.1956
0.2649 0.6956 0.8044
0.7351 0.1956 0.6956
0.7351 0.6956 0.8044
0.7351 0.8044 0.3044
0.7351 0.3044 0.1956
0.0000 0.5000 0.5000
0.0000 0.0000 0.0000
0.0000 0.0000 0.5000
0.0000 0.5000 0.0000
0.5000 0.6158 0.1158
0.5000 0.1158 0.3842
0.5000 0.8842 0.6158
0.5000 0.3842 0.8842
```

**SG**: No. 127
**E_form**: -0.288 eV per atom



This record from Alexandria via LeMat-Bulk describes Tb2Er6Ni after structural relaxation. The functional is PBE.

Structure (POSCAR):
```
Tb2Er6Ni
1.0
3.5252 0.0000 0.3787
-0.0001 9.0719 0.0010
-0.9032 -4.5350 8.4060
Tb Er Ni
2 6 1
direct
0.5000 0.6715 0.3429
0.5000 0.3285 0.6571
0.0000 0.3338 0.3295
0.0000 0.0043 0.6706
0.0000 0.6662 0.6705
0.5000 0.2258 0.0000
0.0000 0.9957 0.3294
0.5000 0.7742 0.0000
0.0000 0.0000 0.0000
```

**SG**: No. 65
**E_form**: 0.115 eV per atom



This record from Alexandria via LeMat-Bulk describes Li2PtBr after structural relaxation. The functional is PBE.

Structure (POSCAR):
```
Li2PtBr
1.0
4.5739 0.0000 0.0000
2.2869 3.9611 0.0000
2.2869 1.3204 3.7345
Br Li Pt
1 2 1
direct
0.5000 0.5000 0.5000
0.0000 0.0000 0.0000
0.2500 0.2500 0.2500
0.7500 0.7500 0.7500
```

**SG**: No. 216
**Energy relative to the lowest polymorph listed for this composition**: 0.364 eV/atom



This record from Alexandria via LeMat-Bulk describes CsNaHg2Au after structural relaxation. The functional is PBE.

Structure (POSCAR):
```
CsNaHg2Au
1.0
-2.5559 -3.9654 1.4888
1.4395 -2.4136 -3.9573
6.0261 0.9295 4.6016
Cs Na Hg Au
1 1 2 1
direct
0.4351 0.4351 0.8701
0.2002 0.7002 0.4004
0.6990 0.1990 0.3979
0.0466 0.0466 0.0932
0.8313 0.8313 0.6626
```

**SG**: No. 44
**E_form**: -0.250 eV per atom
**Energy relative to the lowest polymorph listed for this composition**: 0.000 eV/atom



This record from Alexandria via LeMat-Bulk describes LaCdCuMo2 after structural relaxation. The functional is PBE.

Structure (POSCAR):
```
LaCdCuMo2
1.0
-2.4340 -1.5702 -3.6983
4.4219 0.0240 -2.9204
0.8821 -4.4274 1.2992
Mo Cd Cu La
2 1 1 1
direct
0.0000 0.0000 0.5000
0.5000 0.0000 0.0000
0.5000 0.5000 0.5000
0.0000 0.0000 0.0000
0.0000 0.5000 0.0000
```

**SG**: No. 123
**E_form**: 1.140 eV per atom



Record order is preserved below.
M_tot: 1.70, 4.87, 0.00, 7.76, 0.00, 0.00, 0.00, 0.00 Bohr magnetons per cell
Record order is preserved below.
Raw total energy: -8.93, -5.97, -1.83, -5.05, -4.60, -3.15, -1.46, -5.18 eV/atom